A.
Below is a relaxed structure of HfPdS2N, with properties calculated at the GGA-PBE level.

Unit cell a=4.9706 b=4.9706 c=4.0398 alpha=90.00 beta=90.00 gamma=90.00
Closest atoms and distances in Å follow each position.
Positions (direct):
Hf  0.0000  0.0000  0.0000  2 N 2.02
Pd  0.5000  0.5000  0.5000  8 S 3.20, 4 N 3.51
S  0.0000  0.5000  0.0000  2 Hf 2.49
S  0.5000  0.0000  0.0000  2 Hf 2.49
N  0.0000  0.0000  0.5000  2 Hf 2.02

Calculated values
The space-group type is P4/mmm (123). The crystal system is tetragonal.

B.
Below is a relaxed structure of HfPdS2N, with properties calculated at the GGA-PBE level.

Unit cell a=4.7394 b=4.7394 c=3.7653 alpha=90.00 beta=90.00 gamma=90.00
Closest atoms and distances in Å follow each position.
Positions (direct):
Hf  0.0000  0.0000  0.0000  8 S 3.03, 4 N 3.35
Pd  0.5000  0.5000  0.5000  2 N 1.88
S  0.0000  0.5000  0.5000  2 Pd 2.37
S  0.5000  0.0000  0.5000  2 Pd 2.37
N  0.5000  0.5000  0.0000  2 Pd 1.88

Calculated values
The space-group type is P4/mmm (123). The crystal system is tetragonal.

A is the most stable structure; the next one sits 311 meV per atom above it.